Record 1
DFT (GGA-PBE) results for crystalline TlCo3Si at its relaxed geometry.

Cell: 4.2349 4.2349 4.2349 Å, 90.00 90.00 90.00°
Last column: nearest neighbours and their distance in Å.
Sites, in units of the cell vectors:
Tl  0.0000  0.0000  0.0000  12 Co 2.99
Co  0.0000  0.5000  0.5000  2 Si 2.12
Co  0.5000  0.0000  0.5000  2 Si 2.12
Co  0.5000  0.5000  0.0000  2 Si 2.12
Si  0.5000  0.5000  0.5000  6 Co 2.12

Calculated values
E above lowest polymorph	0	meV/atom


Record 2
DFT (GGA-PBE) results for crystalline Tl4CoSi at its relaxed geometry.

Cell: 6.1953 6.1953 6.1953 Å, 60.00 60.00 60.00°
Last column: nearest neighbours and their distance in Å.
Sites, in units of the cell vectors:
Tl  0.1251  0.1251  0.1251  6 Tl 3.09-3.10
Tl  0.1251  0.1251  0.6246  6 Tl 3.09-3.10
Tl  0.1251  0.6246  0.1251  6 Tl 3.09-3.10
Tl  0.6246  0.1251  0.1251  6 Tl 3.09-3.10
Co  0.7500  0.7500  0.7500  12 Tl 3.63, 4 Si 3.79
Si  0.5000  0.5000  0.5000  12 Tl 3.63, 4 Co 3.79


Record 3
DFT (GGA-PBE) results for crystalline TlCoSi at its relaxed geometry.

Cell: 3.9015 3.9015 4.0008 Å, 90.00 90.00 120.00°
Last column: nearest neighbours and their distance in Å.
Sites, in units of the cell vectors:
Tl  0.0000  0.0000  0.0000  6 Co 3.01, 6 Si 3.01
Co  0.3333  0.6667  0.5000  3 Si 2.25
Si  0.6667  0.3333  0.5000  3 Co 2.25

Calculated values
E above lowest polymorph	20	meV/atom


Record 4
DFT (GGA-PBE) results for crystalline TlCoSi2 at its relaxed geometry.

Cell: 3.0351 3.0351 7.5872 Å, 90.00 90.00 90.00°
Last column: nearest neighbours and their distance in Å.
Sites, in units of the cell vectors:
Tl  0.0000  0.0000  0.0000  4 Tl 3.04, 4 Co 3.19, 1 Si 3.23
Co  0.5000  0.5000  0.3111  5 Si 2.32-2.41
Si  0.0000  0.0000  0.4258  4 Co 2.32
Si  0.5000  0.5000  0.6288  1 Co 2.41, 4 Si 2.64

Calculated values
E above lowest polymorph	211	meV/atom


Record 5
DFT (GGA-PBE) results for crystalline TlCoSi2 at its relaxed geometry.

Cell: 3.8366 3.8366 6.4676 Å, 102.55 102.55 59.87°
Last column: nearest neighbours and their distance in Å.
Sites, in units of the cell vectors:
Tl  0.0000  0.0000  0.0000  6 Si 3.21-3.54, 1 Co 3.23
Co  0.8214  0.8214  0.4876  6 Si 2.28-2.31
Si  0.1800  0.1800  0.5841  3 Co 2.29-2.31, 3 Si 2.50-2.51
Si  0.4665  0.4665  0.3960  3 Co 2.28-2.29, 3 Si 2.50-2.51

Calculated values
E above lowest polymorph	15	meV/atom


Record 6
DFT (GGA-PBE) results for crystalline Tl2Co2Si at its relaxed geometry.

Cell: 8.9524 8.9524 8.9524 Å, 158.49 158.49 30.61°
Last column: nearest neighbours and their distance in Å.
Sites, in units of the cell vectors:
Tl  0.1159  0.1159  0.0000  4 Co 2.86, 4 Si 3.10
Tl  0.8841  0.8841  0.0000  4 Co 2.86, 4 Si 3.10
Co  0.2500  0.7500  0.5000  4 Co 2.36
Co  0.7500  0.2500  0.5000  4 Co 2.36
Si  0.5000  0.5000  0.0000  8 Tl 3.10, 4 Si 3.34

Calculated values
E above lowest polymorph	0	meV/atom


Record 7
DFT (GGA-PBE) results for crystalline TlCoSi2 at its relaxed geometry.

Cell: 3.8329 3.8329 6.5497 Å, 106.24 106.24 59.98°
Last column: nearest neighbours and their distance in Å.
Sites, in units of the cell vectors:
Tl  0.0000  0.0000  0.0000  8 Si 3.31-3.69
Co  0.5000  0.5000  0.5000  6 Si 2.29
Si  0.1973  0.1973  0.5957  3 Co 2.29, 3 Si 2.51
Si  0.8027  0.8027  0.4043  3 Co 2.29, 3 Si 2.51

Calculated values
E above lowest polymorph	0	meV/atom


Record 8
DFT (GGA-PBE) results for crystalline TlCoSi4 at its relaxed geometry.

Cell: 5.2144 5.2144 5.2144 Å, 60.00 60.00 60.00°
Last column: nearest neighbours and their distance in Å.
Sites, in units of the cell vectors:
Tl  0.0000  0.0000  0.0000  12 Si 3.06, 4 Co 3.19
Co  0.2500  0.2500  0.2500  12 Si 3.05, 4 Tl 3.19
Si  0.1295  0.6235  0.6235  6 Si 2.58-2.64
Si  0.6235  0.1295  0.6235  6 Si 2.58-2.64
Si  0.6235  0.6235  0.1295  6 Si 2.58-2.64
Si  0.6235  0.6235  0.6235  6 Si 2.58-2.64


no.,formation energy without anion corrections (eV/f.u.),total DFT energy (no corrections) (eV per atom)
1,2.42,-5.337
2,5.84,-2.692
3,0.91,-4.662
4,0.87,-4.862
5,0.09,-5.058
6,3.12,-4.250
7,0.03,-5.073
8,4.24,-4.488